No. 1
TbPmNdTh, optimized geometry, DFT PBE-GGA; E_tot = -5.366 eV/atom; polymorph energy (0 for the lowest one) = 0 meV/atom; SG = P4mm (99); DFT formation energy = 26 meV per atom; magnetic moment = 0.0 μB per formula unit
1.0
3.610 0.000 0.000
0.000 3.610 0.000
0.000 0.000 10.289
Tb Pm Nd Th
1 1 1 1
Direct
0.000 0.000 0.000
0.000 0.000 0.478
0.500 0.500 0.743
0.500 0.500 0.236

***

No. 2
Pr4Nd11Er9, optimized geometry, DFT PBE-GGA; E_tot = -4.626 eV/atom; SG = Cmmm (65); DFT formation energy = 67 meV per atom; magnetic moment = 0.0 μB per formula unit
1.0
8.490 -12.843 0.000
8.490 12.843 0.000
0.000 0.000 3.729
Pr Nd Er
4 11 9
Direct
0.055 0.256 0.000
0.256 0.055 0.000
0.744 0.945 0.000
0.945 0.744 0.000
0.094 0.457 0.500
0.134 0.866 0.500
0.212 0.212 0.500
0.340 0.660 0.500
0.457 0.094 0.500
0.500 0.500 0.500
0.543 0.906 0.500
0.660 0.340 0.500
0.788 0.788 0.500
0.866 0.134 0.500
0.906 0.543 0.500
0.000 0.000 0.000
0.134 0.664 0.000
0.290 0.436 0.000
0.336 0.866 0.000
0.436 0.290 0.000
0.564 0.710 0.000
0.664 0.134 0.000
0.710 0.564 0.000
0.866 0.336 0.000

***

Record-wise density values, in g cm⁻³: 8.4; 7.5